# 1
Entry from Alexandria via LeMat-Bulk: a relaxed structure of Ba3Mg2 (PBEsol).

Results
The space group is P-3m1, No. 164. The energy of formation from the pure elements is 0.044 eV/atom.

Cell: 6.033 6.033 7.422 Å, 90.00 90.00 120.00°
Fractional coordinates of all 5 atoms:
Mg 0.667 0.333 0.137
Mg 0.333 0.667 0.863
Ba 0.333 0.667 0.342
Ba 0.000 0.000 0.000
Ba 0.667 0.333 0.658

---

# 2
Entry from Alexandria via LeMat-Bulk: a relaxed structure of Sc3PdO (PBEsol).

Results
The space group is Pm-3m, No. 221. For the uncorrected formation energy, the calculation gives -1.57 eV per atom.

Cell: 4.306 4.306 4.306 Å, 90.00 90.00 90.00°
Fractional coordinates of all 5 atoms:
O 0.000 0.000 0.000
Sc 0.500 0.000 0.000
Sc 0.000 0.500 0.000
Sc 0.000 0.000 0.500
Pd 0.500 0.500 0.500

---

# 3
Entry from Alexandria via LeMat-Bulk: a relaxed structure of AlCu2HgOs (PBEsol).

Results
The space group is P4/mmm, No. 123. The energy of formation from the pure elements is 1.349 eV/atom.

Cell: 4.605 4.605 5.130 Å, 90.00 90.00 90.00°
Fractional coordinates of all 5 atoms:
Cu 0.500 0.000 0.000
Cu 0.000 0.500 0.000
Os 0.000 0.000 0.000
Al 0.500 0.500 0.500
Hg 0.000 0.000 0.500

---

# 4
Entry from Alexandria via LeMat-Bulk: a relaxed structure of LaTa2P (PBEsol).

Results
The space group is Cmmm, No. 65. The energy of formation from the pure elements is 0.018 eV/atom.

Cell: 3.035 3.035 8.889 Å, 90.00 90.00 109.37°
Fractional coordinates of all 4 atoms:
P 0.500 0.500 0.000
Ta 0.000 0.000 0.190
Ta 0.000 0.000 0.810
La 0.500 0.500 0.500

---

# 5
Entry from Alexandria via LeMat-Bulk: a relaxed structure of Mg3Pb5 (PBEsol).

Results
The space group is Cmmm, No. 65. The energy of formation from the pure elements is -0.047 eV/atom. The calculation puts the energy above the most stable polymorph in this dataset at 0.000 eV/atom.

Cell: 4.775 6.707 6.707 Å, 94.67 90.00 90.00°
Fractional coordinates of all 8 atoms:
Pb 0.500 0.728 0.728
Pb 0.000 0.500 0.000
Pb 0.000 0.000 0.500
Pb 0.000 0.000 0.000
Pb 0.500 0.272 0.272
Mg 0.500 0.758 0.242
Mg 0.000 0.500 0.500
Mg 0.500 0.242 0.758

---

# 6
Entry from Alexandria via LeMat-Bulk: a relaxed structure of Nb3RuS6 (PBEsol).

Results
The space group is R-3, No. 148. For the uncorrected formation energy, the calculation gives -1.00 eV per atom.

Cell: 5.745 5.745 6.723 Å, 64.71 64.71 60.00°
Fractional coordinates of all 10 atoms:
S 0.239 0.913 0.271
S 0.577 0.239 0.271
S 0.761 0.087 0.729
S 0.423 0.761 0.729
S 0.087 0.423 0.729
S 0.913 0.577 0.271
Nb 0.331 0.331 0.007
Nb 0.000 0.000 0.000
Nb 0.669 0.669 0.993
Ru 0.500 0.500 0.500

---

# 7
Entry from Alexandria via LeMat-Bulk: a relaxed structure of Na3YCl (PBEsol).

Results
The space group is Pm-3m, No. 221. For the uncorrected formation energy, the calculation gives -0.15 eV per atom.

Cell: 5.446 5.446 5.446 Å, 90.00 90.00 90.00°
Fractional coordinates of all 5 atoms:
Na 0.000 0.500 0.000
Na 0.500 0.000 0.000
Na 0.000 0.000 0.500
Y 0.500 0.500 0.500
Cl 0.000 0.000 0.000

---

# 8
Entry from Alexandria via LeMat-Bulk: a relaxed structure of Cs2Na2Al (PBEsol).

Results
The space group is P4/mbm, No. 127. The energy of formation from the pure elements is 0.267 eV/atom.

Cell: 6.546 8.451 8.451 Å, 90.00 90.00 90.00°
Fractional coordinates of all 10 atoms:
Na 0.000 0.846 0.654
Na 0.000 0.154 0.346
Na 0.000 0.654 0.154
Na 0.000 0.346 0.846
Cs 0.500 0.187 0.687
Cs 0.500 0.687 0.813
Cs 0.500 0.313 0.187
Cs 0.500 0.813 0.313
Al 0.000 0.500 0.500
Al 0.000 0.000 0.000

---

# 9
Entry from Alexandria via LeMat-Bulk: a relaxed structure of BaSbMo2F (PBEsol).

Results
The space group is P4/mmm, No. 123. For the uncorrected formation energy, the calculation gives 0.45 eV per atom.

Cell: 4.955 4.449 4.449 Å, 90.00 90.00 90.00°
Fractional coordinates of all 5 atoms:
F 0.000 0.000 0.000
Ba 0.500 0.000 0.000
Sb 0.500 0.500 0.500
Mo 0.000 0.000 0.500
Mo 0.000 0.500 0.000

---

# 10
Entry from Alexandria via LeMat-Bulk: a relaxed structure of PtRh2 (PBEsol).

Results
The space group is I4_1/amd, No. 141. The energy of formation from the pure elements is -0.017 eV/atom. The calculation puts the energy above the most stable polymorph in this dataset at 0.001 eV/atom.

Cell: 3.820 3.820 11.785 Å, 99.33 99.33 90.00°
Fractional coordinates of all 12 atoms:
Pt 0.332 0.832 0.665
Pt 0.082 0.082 0.165
Pt 0.918 0.918 0.835
Pt 0.168 0.668 0.335
Rh 0.250 0.250 0.500
Rh 0.750 0.750 0.500
Rh 0.500 0.000 0.000
Rh 0.582 0.582 0.165
Rh 0.000 0.500 0.000
Rh 0.668 0.168 0.335
Rh 0.418 0.418 0.835
Rh 0.832 0.332 0.665

---

# 11
Entry from Alexandria via LeMat-Bulk: a relaxed structure of Sc2InW (PBEsol).

Results
The space group is P4/mmm, No. 123. The energy of formation from the pure elements is 0.044 eV/atom.

Cell: 3.921 4.421 4.421 Å, 90.00 90.00 90.00°
Fractional coordinates of all 4 atoms:
Sc 0.000 0.000 0.500
Sc 0.000 0.500 0.000
W 0.500 0.500 0.500
In 0.500 0.000 0.000

---

# 12
Entry from Alexandria via LeMat-Bulk: a relaxed structure of YMg2Cu2 (PBEsol).

Results
The space group is C2/m, No. 12. The energy of formation from the pure elements is -0.097 eV/atom. The calculation puts the energy above the most stable polymorph in this dataset at 0.031 eV/atom.

Cell: 4.655 4.655 5.176 Å, 90.33 90.33 60.67°
Fractional coordinates of all 5 atoms:
Cu 0.664 0.664 0.874
Cu 0.336 0.336 0.126
Mg 0.332 0.332 0.628
Mg 0.668 0.668 0.372
Y 0.000 0.000 0.000

---

# 13
Entry from Alexandria via LeMat-Bulk: a relaxed structure of Cs2TlSbF6 (PBEsol).

Results
The space group is Fm-3m, No. 225. For the uncorrected formation energy, the calculation gives -2.42 eV per atom.

Cell: 6.793 6.793 6.793 Å, 60.00 60.00 60.00°
Fractional coordinates of all 10 atoms:
F 0.227 0.227 0.773
F 0.773 0.773 0.227
F 0.773 0.227 0.773
F 0.773 0.227 0.227
F 0.227 0.773 0.227
F 0.227 0.773 0.773
Tl 0.500 0.500 0.500
Sb 0.000 0.000 0.000
Cs 0.750 0.750 0.750
Cs 0.250 0.250 0.250

---

# 14
Entry from Alexandria via LeMat-Bulk: a relaxed structure of RePPd2Pb (PBEsol).

Results
The space group is P4/mmm, No. 123. The energy of formation from the pure elements is 2.041 eV/atom.

Cell: 4.872 4.872 5.109 Å, 90.00 90.00 90.00°
Fractional coordinates of all 5 atoms:
Pd 0.000 0.500 0.000
Pd 0.500 0.000 0.000
Pb 0.000 0.000 0.000
P 0.500 0.500 0.500
Re 0.000 0.000 0.500

---

# 15
Entry from Alexandria via LeMat-Bulk: a relaxed structure of Sc2TlFe (PBEsol).

Results
The space group is Amm2, No. 38. The energy of formation from the pure elements is -0.035 eV/atom.

Cell: 3.298 4.396 5.630 Å, 90.00 106.99 90.00°
Fractional coordinates of all 4 atoms:
Sc 0.028 0.000 0.931
Sc 0.710 0.500 0.294
Tl 0.304 0.000 0.483
Fe 0.458 0.500 0.792

---

# 16
Entry from Alexandria via LeMat-Bulk: a relaxed structure of H2SeF (PBEsol).

Results
The space group is I-42d, No. 122. The total energy comes out at -3.1549 eV per atom.

Cell: 3.867 3.867 6.069 Å, 108.58 108.58 90.00°
Fractional coordinates of all 8 atoms:
F 0.500 0.500 0.000
F 0.750 0.250 0.500
H 0.016 0.375 0.250
H 0.625 0.766 0.750
H 0.234 0.875 0.250
H 0.125 0.984 0.750
Se 0.000 0.000 0.000
Se 0.250 0.750 0.500

---

# 17
Entry from Alexandria via LeMat-Bulk: a relaxed structure of Co2PdCl (PBEsol).

Results
The space group is Fm-3m, No. 225. For the uncorrected formation energy, the calculation gives 0.61 eV per atom.

Cell: 4.208 4.208 4.208 Å, 60.00 60.00 60.00°
Fractional coordinates of all 4 atoms:
Co 0.250 0.250 0.250
Co 0.750 0.750 0.750
Cl 0.000 0.000 0.000
Pd 0.500 0.500 0.500

---

# 18
Entry from Alexandria via LeMat-Bulk: a relaxed structure of RbHgSe3 (PBEsol).

Results
The space group is Pm-3m, No. 221. For the uncorrected formation energy, the calculation gives 1.03 eV per atom.

Cell: 6.266 6.266 6.266 Å, 90.00 90.00 90.00°
Fractional coordinates of all 5 atoms:
Se 0.000 0.500 0.000
Se 0.500 0.000 0.000
Se 0.000 0.000 0.500
Hg 0.500 0.500 0.500
Rb 0.000 0.000 0.000

---

# 19
Entry from Alexandria via LeMat-Bulk: a relaxed structure of ZrTiW2 (PBEsol).

Results
The space group is Fm-3m, No. 225. The energy of formation from the pure elements is 0.189 eV/atom.

Cell: 4.560 4.560 4.560 Å, 60.00 60.00 60.00°
Fractional coordinates of all 4 atoms:
Zr 0.500 0.500 0.500
W 0.750 0.750 0.750
W 0.250 0.250 0.250
Ti 0.000 0.000 0.000

---

# 20
Entry from Alexandria via LeMat-Bulk: a relaxed structure of AgSnTe2I (PBEsol).

Results
The space group is P4/mmm, No. 123. For the uncorrected formation energy, the calculation gives 0.54 eV per atom.

Cell: 5.614 5.614 5.848 Å, 90.00 90.00 90.00°
Fractional coordinates of all 5 atoms:
I 0.000 0.000 0.500
Ag 0.500 0.500 0.500
Sn 0.000 0.000 0.000
Te 0.000 0.500 0.000
Te 0.500 0.000 0.000

---

Record-wise magnetic moment values, in μB/cell: 0.0; 0.0; 0.0; 0.0; 0.0; 0.0; 1.6; 1.3; 0.0; 0.0; 0.0; 0.0; 0.0; 2.7; 1.5; 0.0; 4.0; 5.0; 0.0; 0.0